PBE KPaVN3, optimized geometry; SG = C2/m, No. 12; energy relative to the elements, uncorrected = -586 kJ/mol of formula units; electronic total energy = -8.4595 eV/atom
1.0
7.1823 -1.8611 0.0000
7.1823 1.8611 0.0000
-1.9702 0.0000 7.3482
K Pa V N
2 2 2 6
Cartesian
1.9203 0.0000 0.4836
10.4740 0.0000 6.8645
1.1357 0.0000 4.0755
11.2586 0.0000 3.2726
6.3595 0.0000 2.3172
6.0348 0.0000 5.0309
-0.4251 0.0000 2.2767
3.3622 0.0000 4.4200
4.6385 0.0000 1.8179
7.7559 0.0000 5.5302
9.0321 0.0000 2.9281
12.8195 0.0000 5.0714

***

PBE K2PaW2N6, optimized geometry; SG = C2/m, No. 12; energy relative to the elements, uncorrected = -582 kJ/mol of formula units; electronic total energy = -8.5070 eV/atom
1.0
5.4109 -3.1201 0.0000
5.4109 3.1201 0.0000
-3.8152 0.0000 6.2638
K Pa W N
2 1 2 6
Cartesian
1.6253 0.0000 1.0323
5.3813 0.0000 5.2315
-1.9076 0.0000 3.1319
1.8222 0.0000 4.8876
5.1845 0.0000 1.3762
4.2260 1.5501 1.6576
0.1393 0.0000 4.1478
2.7806 1.5501 4.6062
4.2260 -1.5501 1.6576
6.8673 0.0000 2.1160
2.7806 -1.5501 4.6062

***

PBE KPaWN4, optimized geometry; SG = P2_1/m, No. 11; energy relative to the elements, uncorrected = -558 kJ/mol of formula units; electronic total energy = -8.9466 eV/atom
1.0
6.1184 0.0000 0.0000
0.0000 6.0031 0.0000
-2.3839 0.0000 7.4207
K Pa W N
2 2 2 8
Cartesian
0.0291 1.5008 3.1474
3.7054 4.5024 4.2733
-0.4744 1.5008 7.0554
4.2089 4.5024 0.3653
1.0993 4.5024 1.1806
2.6352 1.5008 6.2400
-2.1104 4.5024 6.9708
-0.5339 4.5024 2.1298
2.3700 3.0877 1.2060
2.3700 5.9170 1.2060
1.3645 0.0861 6.2146
1.3645 2.9154 6.2146
4.2684 1.5008 5.2909
5.8449 1.5008 0.4498

***

PBE KPaW2N6, optimized geometry; SG = C2/c, No. 15; energy relative to the elements, uncorrected = -657 kJ/mol of formula units; electronic total energy = -9.3265 eV/atom
1.0
5.6326 -5.4061 0.0000
5.6326 5.4061 0.0000
-2.1767 0.0000 6.0667
K Pa W N
2 2 4 12
Cartesian
4.0001 4.4245 4.5500
5.0884 -4.4245 1.5167
5.0884 2.3351 1.5167
4.0001 -2.3351 4.5500
1.5118 0.8669 5.0506
2.6001 -0.8669 2.0173
6.4884 0.8669 4.0494
7.5767 -0.8669 1.0161
3.5102 3.9103 1.7373
2.6187 2.2591 5.4221
6.6667 3.9103 1.2961
3.5067 0.4148 0.8444
2.4184 -0.4148 3.8778
5.3815 2.2591 3.6779
3.7071 -2.2591 2.3888
6.6701 0.4148 2.1890
5.5818 -0.4148 5.2223
2.4219 -3.9103 4.7706
6.4698 -2.2591 0.6446
5.5783 -3.9103 4.3295

***

Please write out number 1 again, unchanged.
PBE KPaVN3, optimized geometry; SG = C2/m, No. 12; energy relative to the elements, uncorrected = -586 kJ/mol of formula units; electronic total energy = -8.4595 eV/atom
1.0
7.1823 -1.8611 0.0000
7.1823 1.8611 0.0000
-1.9702 0.0000 7.3482
K Pa V N
2 2 2 6
Cartesian
1.9203 0.0000 0.4836
10.4740 0.0000 6.8645
1.1357 0.0000 4.0755
11.2586 0.0000 3.2726
6.3595 0.0000 2.3172
6.0348 0.0000 5.0309
-0.4251 0.0000 2.2767
3.3622 0.0000 4.4200
4.6385 0.0000 1.8179
7.7559 0.0000 5.5302
9.0321 0.0000 2.9281
12.8195 0.0000 5.0714

***

> Number 1 is which compound?

KPaVN3